## Ba2PuBiO6 (PBE)

Data for Ba2PuBiO6 after structural relaxation.

Cell and atoms, written as POSCAR:
```
Ba2PuBiO6
1.0
-0.1654 1.2735 -4.2705
4.1048 -1.6201 -0.6421
-3.4319 -7.8230 -2.1999
Pu O Ba Bi
1 6 2 1
Direct
0.5000 0.5000 0.0000
0.5000 0.5000 0.7645
0.0000 0.5000 0.0000
0.5000 0.0000 0.0000
0.0000 0.5000 0.5000
0.5000 0.5000 0.2355
0.5000 0.0000 0.5000
0.0000 0.0000 0.7406
0.0000 0.0000 0.2594
0.5000 0.5000 0.5000
```

Summary:
Electronic total energy ... -7.5947 eV per atom
Formation energy without anion corrections ... -2414 meV/atom

---

## Na2SiNiMo (PBE)

Data for Na2SiNiMo after structural relaxation.

Cell and atoms, written as POSCAR:
```
Na2SiNiMo
1.0
5.3256 0.0000 0.0000
0.0000 4.2863 0.0000
0.0000 0.0000 5.3256
Na Mo Ni Si
2 1 1 1
Direct
0.0000 0.0000 0.5000
0.5000 0.0000 0.0000
0.5000 0.5000 0.5000
0.0000 0.5000 0.0000
0.0000 0.0000 0.0000
```

Summary:
Electronic total energy ... -3.7844 eV per atom
Formation energy without anion corrections ... 1150 meV/atom

---

## InTc2Pd (PBE)

Data for InTc2Pd after structural relaxation.

Cell and atoms, written as POSCAR:
```
InTc2Pd
1.0
7.4701 0.0000 0.0000
0.0000 7.4701 0.0000
3.7350 3.7350 2.5797
Tc In Pd
4 2 2
Direct
0.6084 0.1250 0.2500
0.3750 0.3916 0.7500
0.8750 0.8584 0.7500
0.1416 0.6250 0.2500
0.7500 0.2500 0.5000
0.0000 0.0000 0.0000
0.2500 0.7500 0.5000
0.5000 0.5000 0.0000
```

Summary:
Energy of formation ... 748 meV per atom
Electronic total energy ... -6.4173 eV per atom

---

## Tb2FeRe3 (PBE)

Data for Tb2FeRe3 after structural relaxation.

Cell and atoms, written as POSCAR:
```
Tb2FeRe3
1.0
-3.2231 -3.9526 1.4768
-0.0907 1.7694 -5.0053
5.3579 -0.9643 -0.4394
Tb Fe Re
2 1 3
Direct
0.2495 0.6247 0.8741
0.7505 0.3753 0.1259
0.0000 0.0000 0.0000
0.5000 0.5000 0.5000
0.0000 0.0000 0.5000
0.5000 0.0000 0.5000
```

Summary:
Energy of formation ... -139 meV per atom
Electronic total energy ... -9.3173 eV per atom

---

## CaPrNi2 (PBE)

Data for CaPrNi2 after structural relaxation.

Cell and atoms, written as POSCAR:
```
CaPrNi2
1.0
3.4938 0.0000 0.0000
0.0000 3.4938 0.0000
0.0000 0.0000 6.9303
Ca Ni Pr
1 2 1
Direct
0.5000 0.5000 0.5000
0.0000 0.0000 0.2306
0.0000 0.0000 0.7694
0.5000 0.5000 0.0000
```

Summary:
Energy of formation ... -131 meV per atom
Electronic total energy ... -4.7174 eV per atom

---

## NaBi2Se (PBE)

Data for NaBi2Se after structural relaxation.

Cell and atoms, written as POSCAR:
```
NaBi2Se
1.0
0.0000 3.8068 3.8068
3.8068 0.0000 3.8068
3.8068 3.8068 0.0000
Bi Se Na
2 1 1
Direct
0.7500 0.7500 0.7500
0.2500 0.2500 0.2500
0.5000 0.5000 0.5000
0.0000 0.0000 0.0000
```

Summary:
Energy relative to the lowest polymorph listed for this composition ... 20.7 kJ per mole of atoms
Electronic total energy ... -3.0692 eV per atom
Formation energy without anion corrections ... 72 meV/atom

---

## CuSn4Au2 (PBE)

Data for CuSn4Au2 after structural relaxation.

Cell and atoms, written as POSCAR:
```
CuSn4Au2
1.0
-3.3347 -1.2262 2.3725
4.3538 -3.4931 4.3141
0.0662 6.7801 -0.2495
Au Sn Cu
2 4 1
Direct
0.7501 0.7579 0.5002
0.2499 0.2421 0.4998
0.8916 0.2459 0.7832
0.6112 0.2857 0.2224
0.3888 0.7143 0.7776
0.1084 0.7541 0.2168
0.0000 0.0000 0.0000
```

Summary:
Energy of formation ... -117 meV per atom
Electronic total energy ... -3.9257 eV per atom

---

## SiIrS2N (PBE)

Data for SiIrS2N after structural relaxation.

Cell and atoms, written as POSCAR:
```
SiIrS2N
1.0
4.8639 0.0000 0.0000
0.0000 4.8639 0.0000
0.0000 0.0000 3.6554
N S Si Ir
1 2 1 1
Direct
0.0000 0.0000 0.5000
0.5000 0.0000 0.0000
0.0000 0.5000 0.0000
0.5000 0.5000 0.5000
0.0000 0.0000 0.0000
```

Summary:
Energy relative to the lowest polymorph listed for this composition ... 0.0 kJ per mole of atoms
Electronic total energy ... -5.5690 eV per atom
Formation energy without anion corrections ... 604 meV/atom

---

## Nd5Ga5Ru2 (PBE)

Data for Nd5Ga5Ru2 after structural relaxation.

Cell and atoms, written as POSCAR:
```
Nd5Ga5Ru2
1.0
-2.1809 -3.2103 2.1750
3.0944 -0.1775 7.3910
-6.9556 3.9444 3.3976
Nd Ga Ru
5 5 2
Direct
0.3069 0.3131 0.0730
0.6931 0.6869 0.9270
0.6316 0.0620 0.6748
0.0000 0.5000 0.5000
0.3684 0.9380 0.3252
0.7129 0.2361 0.3381
0.2871 0.7639 0.6619
0.0000 0.0000 0.0000
0.0537 0.7047 0.1880
0.9463 0.2953 0.8120
0.3957 0.4498 0.7587
0.6043 0.5502 0.2413
```

Summary:
Energy of formation ... -475 meV per atom
Electronic total energy ... -5.2685 eV per atom

---

## Os2RuPb (PBE)

Data for Os2RuPb after structural relaxation.

Cell and atoms, written as POSCAR:
```
Os2RuPb
1.0
4.7892 -0.0046 0.0330
3.9069 2.7699 0.0330
0.8309 0.2642 5.0211
Os Pb Ru
2 1 1
Direct
0.9999 0.9999 0.9814
0.7399 0.7399 0.8034
0.5007 0.5007 0.4869
0.2595 0.2595 0.2282
```

Summary:
Energy of formation ... 718 meV per atom
Electronic total energy ... -8.1429 eV per atom

---

## TlGaAsSe2 (PBE)

Data for TlGaAsSe2 after structural relaxation.

Cell and atoms, written as POSCAR:
```
TlGaAsSe2
1.0
5.1611 0.0000 0.0000
0.0000 5.1611 0.0000
0.0000 0.0000 4.9626
Se As Tl Ga
2 1 1 1
Direct
0.5000 0.0000 0.0000
0.0000 0.5000 0.0000
0.0000 0.0000 0.5000
0.5000 0.5000 0.5000
0.0000 0.0000 0.0000
```

Summary:
Energy relative to the lowest polymorph listed for this composition ... 0.0 kJ per mole of atoms
Electronic total energy ... -3.2363 eV per atom
Formation energy without anion corrections ... 166 meV/atom

---

## CsLaPuO6 (PBE)

Data for CsLaPuO6 after structural relaxation.

Cell and atoms, written as POSCAR:
```
CsLaPuO6
1.0
6.1403 0.0001 0.0001
3.0703 5.3176 0.0000
0.0002 -0.0004 6.2608
O Cs Pu La
6 1 1 1
Direct
0.5844 0.3660 0.6749
0.3659 0.0496 0.6749
0.3659 0.5845 0.3251
0.0496 0.3659 0.3251
0.0495 0.5845 0.6749
0.5845 0.0496 0.3251
0.0000 0.0000 0.0000
0.3333 0.3333 0.5000
0.6666 0.6667 0.5000
```

Summary:
Electronic total energy ... -7.9787 eV per atom
Formation energy without anion corrections ... -2438 meV/atom

---

## AcPmAg (PBE)

Data for AcPmAg after structural relaxation.

Cell and atoms, written as POSCAR:
```
AcPmAg
1.0
7.3969 0.0000 0.0000
0.0000 6.7192 3.0331
0.0000 0.0093 8.1945
Ac Pm Ag
4 4 4
Direct
0.6638 0.2596 0.5926
0.8362 0.2596 0.0926
0.3362 0.7404 0.4074
0.1638 0.7404 0.9074
0.1672 0.1919 0.4764
0.6672 0.8081 0.0236
0.8328 0.8081 0.5236
0.3328 0.1919 0.9764
0.4546 0.4167 0.2004
0.0454 0.4167 0.7004
0.9546 0.5833 0.2996
0.5454 0.5833 0.7996
```

Summary:
Energy relative to the lowest polymorph listed for this composition ... 7.0 kJ per mole of atoms
Energy of formation ... -63 meV per atom
Electronic total energy ... -3.9667 eV per atom

---

## LiSi2Pd (PBE)

Data for LiSi2Pd after structural relaxation.

Cell and atoms, written as POSCAR:
```
LiSi2Pd
1.0
4.8506 0.0000 0.0000
0.0000 6.0654 0.0000
0.0000 0.0000 16.3933
Si Pd Li
16 8 8
Direct
0.7260 0.9500 0.0229
0.7740 0.9500 0.5229
0.4881 0.9473 0.2748
0.7740 0.5500 0.5229
0.4881 0.5527 0.2748
0.9881 0.0527 0.2252
0.9881 0.4473 0.2252
0.5119 0.0527 0.7252
0.7260 0.5500 0.0229
0.2260 0.4500 0.4771
0.0119 0.9473 0.7748
0.0119 0.5527 0.7748
0.2740 0.0500 0.9771
0.2740 0.4500 0.9771
0.5119 0.4473 0.7252
0.2260 0.0500 0.4771
0.0017 0.7500 0.9134
0.2727 0.2500 0.8441
0.9983 0.2500 0.0866
0.5017 0.2500 0.5866
0.7273 0.7500 0.1559
0.2273 0.2500 0.3441
0.4983 0.7500 0.4134
0.7727 0.7500 0.6559
0.7720 0.2500 0.8918
0.4937 0.2500 0.1457
0.2280 0.7500 0.1082
0.9937 0.7500 0.3543
0.5063 0.7500 0.8543
0.2720 0.7500 0.6082
0.7280 0.2500 0.3918
0.0063 0.2500 0.6457
```

Summary:
Electronic total energy ... -4.8572 eV per atom
Formation energy without anion corrections ... -369 meV/atom

---

## BaNaAgTe2 (PBE)

Data for BaNaAgTe2 after structural relaxation.

Cell and atoms, written as POSCAR:
```
BaNaAgTe2
1.0
6.2739 0.0000 0.0000
0.0000 6.5793 0.0000
0.0000 -3.2897 8.0846
Te Na Ba Ag
4 2 2 2
Direct
0.2498 0.3655 0.7311
0.7502 0.8655 0.7311
0.2498 0.1345 0.2689
0.7502 0.6345 0.2689
0.5000 0.2500 0.0000
0.5000 0.7500 0.0000
0.2404 0.7500 0.5000
0.7596 0.2500 0.5000
0.0000 0.5000 0.0000
0.0000 0.0000 0.0000
```

Summary:
Electronic total energy ... -3.4192 eV per atom
Formation energy without anion corrections ... -944 meV/atom

---

## YMn2Re (PBE)

Data for YMn2Re after structural relaxation.

Cell and atoms, written as POSCAR:
```
YMn2Re
1.0
-2.3909 -3.5130 1.1529
0.0547 -1.4301 4.1640
-3.5580 0.4976 2.5456
Re Y Mn
1 1 2
Direct
0.5000 0.5000 0.5000
0.0000 0.0000 0.0000
0.2500 0.2500 0.2500
0.7500 0.7500 0.7500
```

Summary:
Energy relative to the lowest polymorph listed for this composition ... 17.3 kJ per mole of atoms
Energy of formation ... 333 meV per atom
Electronic total energy ... -8.9794 eV per atom

---

## La2TcCl (PBE)

Data for La2TcCl after structural relaxation.

Cell and atoms, written as POSCAR:
```
La2TcCl
1.0
-4.2766 -1.7978 -6.9073
-0.6481 -5.5318 -6.1815
0.8771 2.1470 7.9908
La Cl Tc
2 1 1
Direct
0.9619 0.9619 0.0000
0.6740 0.1740 0.5000
0.2997 0.7997 0.5000
0.5645 0.5645 0.0000
```

Summary:
Energy relative to the lowest polymorph listed for this composition ... 12.6 kJ per mole of atoms
Electronic total energy ... -6.1607 eV per atom
Formation energy without anion corrections ... -644 meV/atom

---

## NaTaS2N (PBE)

Data for NaTaS2N after structural relaxation.

Cell and atoms, written as POSCAR:
```
NaTaS2N
1.0
-4.1932 -0.5412 2.1623
-0.1110 -4.5504 -1.3541
1.8281 -1.0233 3.2891
Na S N Ta
1 2 1 1
Direct
0.0000 0.0000 0.0000
0.5000 0.0000 0.0000
0.0000 0.5000 0.0000
0.0000 0.0000 0.5000
0.5000 0.5000 0.5000
```

Summary:
Energy relative to the lowest polymorph listed for this composition ... 200.1 kJ per mole of atoms
Electronic total energy ... -4.4438 eV per atom
Formation energy without anion corrections ... 1507 meV/atom

---

## NiAgBPt2 (PBE)

Data for NiAgBPt2 after structural relaxation.

Cell and atoms, written as POSCAR:
```
NiAgBPt2
1.0
-1.0501 3.5890 1.8691
-2.6346 -2.0720 2.4985
2.9375 -0.5264 2.6610
B Ni Pt Ag
1 1 2 1
Direct
0.0000 0.0000 0.0000
0.0000 0.0000 0.5000
0.0000 0.5000 0.0000
0.5000 0.0000 0.0000
0.5000 0.5000 0.5000
```

Summary:
Energy of formation ... -83 meV per atom
Electronic total energy ... -5.5612 eV per atom

---

## NaTl2Br8 (PBE)

Data for NaTl2Br8 after structural relaxation.

Cell and atoms, written as POSCAR:
```
NaTl2Br8
1.0
6.8594 0.6606 0.5012
0.9121 8.5285 0.7422
0.9121 3.0112 8.0137
Na Br Tl
1 8 2
Direct
0.0000 0.0000 0.0000
0.8722 0.6456 0.6456
0.7376 0.1398 0.7014
0.7376 0.7014 0.1398
0.7221 0.1905 0.1905
0.2624 0.8602 0.2986
0.2779 0.8095 0.8095
0.2624 0.2986 0.8602
0.1278 0.3544 0.3544
0.3487 0.1833 0.1833
0.6513 0.8167 0.8167
```

Summary:
Electronic total energy ... -2.3040 eV per atom
Formation energy without anion corrections ... -537 meV/atom